Compound: La3DyTm7
Source: Alexandria via LeMat-Bulk
Functional: PBE-GGA
Structure: optimized geometry

a b c (Å): 8.7137 7.0290 7.0289
angles (deg): 120.00 90.00 90.00
Fractional positions:
La: 0.7835 0.5001 0.4998
La: 0.7835 0.5002 0.0004
La: 0.7835 0.9997 0.4998
Dy: 0.4425 0.3333 0.6667
Tm: 0.1242 0.1671 0.8329
Tm: 0.1242 0.1672 0.3343
Tm: 0.1244 0.6667 0.3333
Tm: 0.4417 0.8328 0.1672
Tm: 0.4417 0.3344 0.1672
Tm: 0.4417 0.8328 0.6655
Tm: 0.1242 0.6658 0.8329

Summary:
size of the total moment: 0.000 μB per formula unit
excess energy over the best structure of this formula in the dataset: 10 meV/atom
ΔH_f (0 K): 0.176 eV per atom
total energy: -48.75 eV for the cell shown